The following is a DFT calculation (GGA-PBEsol) of ScAl2Si after structural relaxation.

Structure (extended XYZ):
```
4
Lattice="3.060 0.000 0.000 0.000 4.937 0.015 0.000 -1.964 4.530" Properties=species:S:1:pos:R:3 pbc="T T T"
Sc 1.530 0.000 0.000
Al 0.000 2.469 0.008
Al 0.000 -0.982 2.265
Si 1.530 1.487 2.273
```

Results
As for the total DFT energy (no corrections): -0.394 Ry/atom. Its formation energy from raw total energies is -0.232 eV/atom. The magnetization comes out at 0.00 μB/atom. As for the symmetry: Cmmm, No. 65.



The following is a DFT calculation (GGA-PBEsol) of AlCr2Se after structural relaxation.

Structure (extended XYZ):
```
4
Lattice="2.676 0.000 0.000 -1.011 2.477 0.000 0.000 0.000 8.800" Properties=species:S:1:pos:R:3 pbc="T T T"
Se 0.000 0.000 4.795
Cr 0.832 1.239 6.820
Cr 0.000 0.000 8.549
Al 0.832 1.239 1.835
```

Results
As for the total DFT energy (no corrections): -0.501 Ry/atom. The energy above the most stable polymorph in this dataset is 0.000 eV per atom. Its formation energy from raw total energies is 0.290 eV/atom. The magnetization comes out at 0.00 μB/atom. As for the symmetry: Cmm2, No. 35.



The following is a DFT calculation (GGA-PBEsol) of In2CoNi after structural relaxation.

Structure (extended XYZ):
```
4
Lattice="-0.614 -2.531 -1.414 2.555 -2.207 2.839 -4.101 1.286 2.586" Properties=species:S:1:pos:R:3 pbc="T T T"
Co -2.096 -1.710 0.866
In -0.322 -1.513 2.846
In 0.022 -0.141 0.242
Ni -2.895 -1.172 3.355
```

Results
As for the total DFT energy (no corrections): -0.360 Ry/atom. The energy above the most stable polymorph in this dataset is 0.000 eV per atom. The energy relative to the elements comes out at 0.0715 eV per atom. The magnetization comes out at 0.00 μB/atom. As for the symmetry: Cm, No. 8.



The following is a DFT calculation (GGA-PBEsol) of MgBeRh2 after structural relaxation.

Structure (extended XYZ):
```
4
Lattice="2.892 0.000 0.000 0.000 4.093 0.000 -1.446 -2.046 4.347" Properties=species:S:1:pos:R:3 pbc="T T T"
Mg 0.000 2.046 2.102
Be 0.000 0.000 4.177
Rh 0.000 0.000 0.092
Rh 1.446 0.000 2.323
```

Results
As for the total DFT energy (no corrections): -0.422 Ry/atom. The energy above the most stable polymorph in this dataset is 0.195 eV per atom. The energy relative to the elements comes out at -0.2490 eV per atom. The magnetization comes out at 0.00 μB/atom. As for the symmetry: Imm2, No. 44.